(1)
The following is a DFT calculation (GGA-PBE) of crystalline LiSmCo at its relaxed geometry.

Summary:
Total magnetization, μB per cell: 0.00
Raw total energy, eV/f.u.: -12.3

Structure (CIF):
```
data_LiSmCo
_cell_length_a 6.040
_cell_length_b 6.040
_cell_length_c 6.040
_cell_angle_alpha 90.00
_cell_angle_beta 90.00
_cell_angle_gamma 90.00
_symmetry_space_group_name_H-M 'P 1'
_symmetry_Int_Tables_number 1
loop_
_symmetry_equiv_pos_as_xyz
'x,y,z'
loop_
_atom_site_label
_atom_site_fract_x
_atom_site_fract_y
_atom_site_fract_z
Li1 0.000 0.000 0.000
Li2 0.000 0.500 0.500
Li3 0.500 0.000 0.500
Li4 0.500 0.500 0.000
Sm1 0.250 0.250 0.750
Sm2 0.250 0.750 0.250
Sm3 0.750 0.250 0.250
Sm4 0.750 0.750 0.750
Co1 0.250 0.250 0.250
Co2 0.250 0.750 0.750
Co3 0.750 0.250 0.750
Co4 0.750 0.750 0.250
```

***

(2)
The following is a DFT calculation (GGA-PBE) of crystalline LiSmCoTe3 at its relaxed geometry.

Summary:
Total magnetization, μB per cell: 4.42
Raw total energy, eV/f.u.: -27.6

Structure (CIF):
```
data_LiSmCoTe3
_cell_length_a 7.329
_cell_length_b 7.329
_cell_length_c 11.465
_cell_angle_alpha 90.00
_cell_angle_beta 90.00
_cell_angle_gamma 147.38
_symmetry_space_group_name_H-M 'P 1'
_symmetry_Int_Tables_number 1
loop_
_symmetry_equiv_pos_as_xyz
'x,y,z'
loop_
_atom_site_label
_atom_site_fract_x
_atom_site_fract_y
_atom_site_fract_z
Li1 0.196 0.804 0.750
Li2 0.804 0.196 0.250
Sm1 0.000 0.000 0.000
Sm2 0.000 0.000 0.500
Co1 0.474 0.526 0.250
Co2 0.526 0.474 0.750
Te1 0.085 0.915 0.250
Te2 0.349 0.651 0.082
Te3 0.349 0.651 0.418
Te4 0.651 0.349 0.582
Te5 0.651 0.349 0.918
Te6 0.915 0.085 0.750
```

***

(3)
The following is a DFT calculation (GGA-PBE) of crystalline LiCoSn at its relaxed geometry.

Summary:
Total magnetization, μB per cell: 0.00
Raw total energy, eV/f.u.: -12.8

Structure (CIF):
```
data_LiCoSn
_cell_length_a 5.903
_cell_length_b 5.903
_cell_length_c 5.903
_cell_angle_alpha 90.00
_cell_angle_beta 90.00
_cell_angle_gamma 90.00
_symmetry_space_group_name_H-M 'P 1'
_symmetry_Int_Tables_number 1
loop_
_symmetry_equiv_pos_as_xyz
'x,y,z'
loop_
_atom_site_label
_atom_site_fract_x
_atom_site_fract_y
_atom_site_fract_z
Li1 0.000 0.000 0.000
Li2 0.000 0.500 0.500
Li3 0.500 0.000 0.500
Li4 0.500 0.500 0.000
Co1 0.250 0.250 0.250
Co2 0.250 0.750 0.750
Co3 0.750 0.250 0.750
Co4 0.750 0.750 0.250
Sn1 0.000 0.000 0.500
Sn2 0.000 0.500 0.000
Sn3 0.500 0.000 0.000
Sn4 0.500 0.500 0.500
```

***

(4)
The following is a DFT calculation (GGA-PBE) of crystalline LiTaCoSn at its relaxed geometry.

Summary:
Total magnetization, μB per cell: 3.60
Raw total energy, eV/f.u.: -25.1

Structure (CIF):
```
data_LiTaCoSn
_cell_length_a 6.172
_cell_length_b 6.172
_cell_length_c 6.172
_cell_angle_alpha 90.00
_cell_angle_beta 90.00
_cell_angle_gamma 90.00
_symmetry_space_group_name_H-M 'P 1'
_symmetry_Int_Tables_number 1
loop_
_symmetry_equiv_pos_as_xyz
'x,y,z'
loop_
_atom_site_label
_atom_site_fract_x
_atom_site_fract_y
_atom_site_fract_z
Li1 0.000 0.000 0.000
Li2 0.000 0.500 0.500
Li3 0.500 0.000 0.500
Li4 0.500 0.500 0.000
Ta1 0.250 0.250 0.750
Ta2 0.250 0.750 0.250
Ta3 0.750 0.250 0.250
Ta4 0.750 0.750 0.750
Co1 0.000 0.000 0.500
Co2 0.000 0.500 0.000
Co3 0.500 0.000 0.000
Co4 0.500 0.500 0.500
Sn1 0.250 0.250 0.250
Sn2 0.250 0.750 0.750
Sn3 0.750 0.250 0.750
Sn4 0.750 0.750 0.250
```

***

(5)
The following is a DFT calculation (GGA-PBE) of crystalline LiTaCoSn at its relaxed geometry.

Summary:
Total magnetization, μB per cell: 5.95
Raw total energy, eV/f.u.: -23.3

Structure (CIF):
```
data_LiTaCoSn
_cell_length_a 6.321
_cell_length_b 6.321
_cell_length_c 6.321
_cell_angle_alpha 90.00
_cell_angle_beta 90.00
_cell_angle_gamma 90.00
_symmetry_space_group_name_H-M 'P 1'
_symmetry_Int_Tables_number 1
loop_
_symmetry_equiv_pos_as_xyz
'x,y,z'
loop_
_atom_site_label
_atom_site_fract_x
_atom_site_fract_y
_atom_site_fract_z
Li1 0.000 0.000 0.000
Li2 0.000 0.500 0.500
Li3 0.500 0.000 0.500
Li4 0.500 0.500 0.000
Ta1 0.250 0.250 0.250
Ta2 0.250 0.750 0.750
Ta3 0.750 0.250 0.750
Ta4 0.750 0.750 0.250
Co1 0.250 0.250 0.750
Co2 0.250 0.750 0.250
Co3 0.750 0.250 0.250
Co4 0.750 0.750 0.750
Sn1 0.000 0.000 0.500
Sn2 0.000 0.500 0.000
Sn3 0.500 0.000 0.000
Sn4 0.500 0.500 0.500
```

***

(6)
The following is a DFT calculation (GGA-PBE) of crystalline LiZrCoSn at its relaxed geometry.

Summary:
Total magnetization, μB per cell: 3.21
Raw total energy, eV/f.u.: -22.1

Structure (CIF):
```
data_LiZrCoSn
_cell_length_a 6.542
_cell_length_b 6.542
_cell_length_c 6.542
_cell_angle_alpha 90.00
_cell_angle_beta 90.00
_cell_angle_gamma 90.00
_symmetry_space_group_name_H-M 'P 1'
_symmetry_Int_Tables_number 1
loop_
_symmetry_equiv_pos_as_xyz
'x,y,z'
loop_
_atom_site_label
_atom_site_fract_x
_atom_site_fract_y
_atom_site_fract_z
Li1 0.000 0.000 0.000
Li2 0.000 0.500 0.500
Li3 0.500 0.000 0.500
Li4 0.500 0.500 0.000
Zr1 0.000 0.000 0.500
Zr2 0.000 0.500 0.000
Zr3 0.500 0.000 0.000
Zr4 0.500 0.500 0.500
Co1 0.250 0.250 0.750
Co2 0.250 0.750 0.250
Co3 0.750 0.250 0.250
Co4 0.750 0.750 0.750
Sn1 0.250 0.250 0.250
Sn2 0.250 0.750 0.750
Sn3 0.750 0.250 0.750
Sn4 0.750 0.750 0.250
```

***

(7)
The following is a DFT calculation (GGA-PBE) of crystalline LiZrCoSn at its relaxed geometry.

Summary:
Total magnetization, μB per cell: 0.01
Raw total energy, eV/f.u.: -23.5

Structure (CIF):
```
data_LiZrCoSn
_cell_length_a 6.296
_cell_length_b 6.296
_cell_length_c 6.296
_cell_angle_alpha 90.00
_cell_angle_beta 90.00
_cell_angle_gamma 90.00
_symmetry_space_group_name_H-M 'P 1'
_symmetry_Int_Tables_number 1
loop_
_symmetry_equiv_pos_as_xyz
'x,y,z'
loop_
_atom_site_label
_atom_site_fract_x
_atom_site_fract_y
_atom_site_fract_z
Li1 0.000 0.000 0.000
Li2 0.000 0.500 0.500
Li3 0.500 0.000 0.500
Li4 0.500 0.500 0.000
Zr1 0.250 0.250 0.750
Zr2 0.250 0.750 0.250
Zr3 0.750 0.250 0.250
Zr4 0.750 0.750 0.750
Co1 0.000 0.000 0.500
Co2 0.000 0.500 0.000
Co3 0.500 0.000 0.000
Co4 0.500 0.500 0.500
Sn1 0.250 0.250 0.250
Sn2 0.250 0.750 0.750
Sn3 0.750 0.250 0.750
Sn4 0.750 0.750 0.250
```

***

(8)
The following is a DFT calculation (GGA-PBE) of crystalline LiZrCoSn at its relaxed geometry.

Summary:
Total magnetization, μB per cell: 0.14
Raw total energy, eV/f.u.: -21.6

Structure (CIF):
```
data_LiZrCoSn
_cell_length_a 6.456
_cell_length_b 6.456
_cell_length_c 6.456
_cell_angle_alpha 90.00
_cell_angle_beta 90.00
_cell_angle_gamma 90.00
_symmetry_space_group_name_H-M 'P 1'
_symmetry_Int_Tables_number 1
loop_
_symmetry_equiv_pos_as_xyz
'x,y,z'
loop_
_atom_site_label
_atom_site_fract_x
_atom_site_fract_y
_atom_site_fract_z
Li1 0.000 0.000 0.000
Li2 0.000 0.500 0.500
Li3 0.500 0.000 0.500
Li4 0.500 0.500 0.000
Zr1 0.250 0.250 0.750
Zr2 0.250 0.750 0.250
Zr3 0.750 0.250 0.250
Zr4 0.750 0.750 0.750
Co1 0.250 0.250 0.250
Co2 0.250 0.750 0.750
Co3 0.750 0.250 0.750
Co4 0.750 0.750 0.250
Sn1 0.000 0.000 0.500
Sn2 0.000 0.500 0.000
Sn3 0.500 0.000 0.000
Sn4 0.500 0.500 0.500
```

***

(9)
The following is a DFT calculation (GGA-PBE) of crystalline LiZrCoSn at its relaxed geometry.

Summary:
Total magnetization, μB per cell: 0.00
Raw total energy, eV/f.u.: -23.5

Structure (CIF):
```
data_LiZrCoSn
_cell_length_a 4.439
_cell_length_b 4.439
_cell_length_c 6.279
_cell_angle_alpha 90.00
_cell_angle_beta 90.00
_cell_angle_gamma 90.00
_symmetry_space_group_name_H-M 'P 1'
_symmetry_Int_Tables_number 1
loop_
_symmetry_equiv_pos_as_xyz
'x,y,z'
loop_
_atom_site_label
_atom_site_fract_x
_atom_site_fract_y
_atom_site_fract_z
Li1 0.000 0.500 0.250
Li2 0.500 0.000 0.750
Zr1 0.000 0.000 0.000
Zr2 0.500 0.500 0.500
Co1 0.000 0.500 0.748
Co2 0.500 0.000 0.252
Sn1 0.000 0.000 0.500
Sn2 0.500 0.500 0.000
```

***

(10)
The following is a DFT calculation (GGA-PBE) of crystalline SrLiCo at its relaxed geometry.

Summary:
Total magnetization, μB per cell: 1.75
Raw total energy, eV/f.u.: -8.9

Structure (CIF):
```
data_SrLiCo
_cell_length_a 5.157
_cell_length_b 5.157
_cell_length_c 8.565
_cell_angle_alpha 90.00
_cell_angle_beta 90.00
_cell_angle_gamma 120.00
_symmetry_space_group_name_H-M 'P 1'
_symmetry_Int_Tables_number 1
loop_
_symmetry_equiv_pos_as_xyz
'x,y,z'
loop_
_atom_site_label
_atom_site_fract_x
_atom_site_fract_y
_atom_site_fract_z
Sr1 0.000 0.000 0.000
Sr2 0.333 0.667 0.667
Sr3 0.667 0.333 0.333
Li1 0.000 0.000 0.373
Li2 0.333 0.667 0.040
Li3 0.667 0.333 0.706
Co1 0.000 0.000 0.649
Co2 0.333 0.667 0.316
Co3 0.667 0.333 0.983
```

***

(11)
The following is a DFT calculation (GGA-PBE) of crystalline LiTaTlCo at its relaxed geometry.

Summary:
Total magnetization, μB per cell: 1.09
Raw total energy, eV/f.u.: -21.7

Structure (CIF):
```
data_LiTaTlCo
_cell_length_a 6.349
_cell_length_b 6.349
_cell_length_c 6.349
_cell_angle_alpha 90.00
_cell_angle_beta 90.00
_cell_angle_gamma 90.00
_symmetry_space_group_name_H-M 'P 1'
_symmetry_Int_Tables_number 1
loop_
_symmetry_equiv_pos_as_xyz
'x,y,z'
loop_
_atom_site_label
_atom_site_fract_x
_atom_site_fract_y
_atom_site_fract_z
Li1 0.000 0.000 0.000
Li2 0.000 0.500 0.500
Li3 0.500 0.000 0.500
Li4 0.500 0.500 0.000
Ta1 0.000 0.000 0.500
Ta2 0.000 0.500 0.000
Ta3 0.500 0.000 0.000
Ta4 0.500 0.500 0.500
Tl1 0.250 0.250 0.250
Tl2 0.250 0.750 0.750
Tl3 0.750 0.250 0.750
Tl4 0.750 0.750 0.250
Co1 0.250 0.250 0.750
Co2 0.250 0.750 0.250
Co3 0.750 0.250 0.250
Co4 0.750 0.750 0.750
```

***

(12)
The following is a DFT calculation (GGA-PBE) of crystalline LiTaTlCo at its relaxed geometry.

Summary:
Total magnetization, μB per cell: 0.02
Raw total energy, eV/f.u.: -22.8

Structure (CIF):
```
data_LiTaTlCo
_cell_length_a 6.193
_cell_length_b 6.193
_cell_length_c 6.193
_cell_angle_alpha 90.00
_cell_angle_beta 90.00
_cell_angle_gamma 90.00
_symmetry_space_group_name_H-M 'P 1'
_symmetry_Int_Tables_number 1
loop_
_symmetry_equiv_pos_as_xyz
'x,y,z'
loop_
_atom_site_label
_atom_site_fract_x
_atom_site_fract_y
_atom_site_fract_z
Li1 0.000 0.000 0.000
Li2 0.000 0.500 0.500
Li3 0.500 0.000 0.500
Li4 0.500 0.500 0.000
Ta1 0.250 0.250 0.750
Ta2 0.250 0.750 0.250
Ta3 0.750 0.250 0.250
Ta4 0.750 0.750 0.750
Tl1 0.250 0.250 0.250
Tl2 0.250 0.750 0.750
Tl3 0.750 0.250 0.750
Tl4 0.750 0.750 0.250
Co1 0.000 0.000 0.500
Co2 0.000 0.500 0.000
Co3 0.500 0.000 0.000
Co4 0.500 0.500 0.500
```

***

(13)
The following is a DFT calculation (GGA-PBE) of crystalline LiTaTlCo at its relaxed geometry.

Summary:
Total magnetization, μB per cell: 0.47
Raw total energy, eV/f.u.: -20.6

Structure (CIF):
```
data_LiTaTlCo
_cell_length_a 6.337
_cell_length_b 6.337
_cell_length_c 6.337
_cell_angle_alpha 90.00
_cell_angle_beta 90.00
_cell_angle_gamma 90.00
_symmetry_space_group_name_H-M 'P 1'
_symmetry_Int_Tables_number 1
loop_
_symmetry_equiv_pos_as_xyz
'x,y,z'
loop_
_atom_site_label
_atom_site_fract_x
_atom_site_fract_y
_atom_site_fract_z
Li1 0.000 0.000 0.000
Li2 0.000 0.500 0.500
Li3 0.500 0.000 0.500
Li4 0.500 0.500 0.000
Ta1 0.250 0.250 0.750
Ta2 0.250 0.750 0.250
Ta3 0.750 0.250 0.250
Ta4 0.750 0.750 0.750
Tl1 0.000 0.000 0.500
Tl2 0.000 0.500 0.000
Tl3 0.500 0.000 0.000
Tl4 0.500 0.500 0.500
Co1 0.250 0.250 0.250
Co2 0.250 0.750 0.750
Co3 0.750 0.250 0.750
Co4 0.750 0.750 0.250
```

***

(14)
The following is a DFT calculation (GGA-PBE) of crystalline LiTaZnCo at its relaxed geometry.

Summary:
Total magnetization, μB per cell: 0.56
Raw total energy, eV/f.u.: -20.8

Structure (CIF):
```
data_LiTaZnCo
_cell_length_a 5.947
_cell_length_b 5.947
_cell_length_c 5.947
_cell_angle_alpha 90.00
_cell_angle_beta 90.00
_cell_angle_gamma 90.00
_symmetry_space_group_name_H-M 'P 1'
_symmetry_Int_Tables_number 1
loop_
_symmetry_equiv_pos_as_xyz
'x,y,z'
loop_
_atom_site_label
_atom_site_fract_x
_atom_site_fract_y
_atom_site_fract_z
Li1 0.000 0.000 0.000
Li2 0.000 0.500 0.500
Li3 0.500 0.000 0.500
Li4 0.500 0.500 0.000
Ta1 0.250 0.250 0.250
Ta2 0.250 0.750 0.750
Ta3 0.750 0.250 0.750
Ta4 0.750 0.750 0.250
Zn1 0.000 0.000 0.500
Zn2 0.000 0.500 0.000
Zn3 0.500 0.000 0.000
Zn4 0.500 0.500 0.500
Co1 0.250 0.250 0.750
Co2 0.250 0.750 0.250
Co3 0.750 0.250 0.250
Co4 0.750 0.750 0.750
```